[1]
DFT (GGA-PBE) results for a relaxed structure of LaDyCoBr.

a b c (Å): 3.9347 3.9309 8.1696
angles (deg): 90.00 103.85 119.99
With the nearest neighbours (Å) after each atom.
Positions (direct):
La: 0.5131 0.1546 0.6838  3 Co 2.71-2.72
Br: 0.9582 0.3772 0.3510  3 Dy 3.21, 3 La 3.46
Dy: 0.0997 0.9477 0.0621  3 Co 2.71-2.72
Co: 0.3069 0.5513 0.8728  3 La 2.71-2.72, 3 Dy 2.71-2.72

As for the crystal system: monoclinic.

[2]
DFT (GGA-PBE) results for a relaxed structure of PmDyCoBr.

a b c (Å): 3.8987 3.8956 8.0597
angles (deg): 89.95 103.97 119.99
With the nearest neighbours (Å) after each atom.
Positions (direct):
Br: 0.9623 0.3790 0.3574  3 Dy 3.22, 3 Pm 3.36
Co: 0.3070 0.5515 0.8735  3 Dy 2.67, 3 Pm 2.70-2.71
Pm: 0.5105 0.1531 0.6794  3 Co 2.70-2.71
Dy: 0.0980 0.9473 0.0594  3 Co 2.67

As for the crystal system: monoclinic.

[3]
DFT (GGA-PBE) results for a relaxed structure of SmDyCoBr.

a b c (Å): 3.8903 3.8875 8.0396
angles (deg): 89.95 103.98 119.99
With the nearest neighbours (Å) after each atom.
Positions (direct):
Sm: 0.5108 0.1532 0.6798  3 Co 2.69-2.70
Br: 0.9629 0.3793 0.3582  3 Dy 3.22, 3 Sm 3.35
Dy: 0.0978 0.9472 0.0590  3 Co 2.66-2.67
Co: 0.3064 0.5512 0.8726  3 Dy 2.66-2.67, 3 Sm 2.69-2.70

As for the crystal system: monoclinic.

[4]
DFT (GGA-PBE) results for a relaxed structure of DyThCoBr.

a b c (Å): 3.9723 3.9719 8.1094
angles (deg): 90.00 104.17 120.00
With the nearest neighbours (Å) after each atom.
Positions (direct):
Br: 0.9736 0.3852 0.3734  3 Dy 3.30-3.31, 3 Th 3.45
Dy: 0.5106 0.1531 0.6792  3 Co 2.75
Co: 0.3076 0.5516 0.8746  3 Th 2.64, 3 Dy 2.75
Th: 0.0861 0.9409 0.0425  3 Co 2.64

As for the crystal system: trigonal.

[5]
DFT (GGA-PBE) results for a relaxed structure of Er3CoBr3.

a b c (Å): 3.9591 8.4448 11.6474
angles (deg): 92.23 90.00 90.00
With the nearest neighbours (Å) after each atom.
Positions (direct):
Br: 0.7500 0.5729 0.6312  5 Er 3.08-3.28
Er: 0.2500 0.2642 0.6010  2 Co 2.66
Br: 0.2500 0.3427 0.8577  3 Er 2.87-3.04
Br: 0.7500 0.1344 0.1032  4 Er 2.95-3.28
Er: 0.2500 0.8596 0.6321  3 Co 2.62-2.76
Er: 0.7500 0.7358 0.3990  2 Co 2.66
Er: 0.2500 0.9011 0.1783  1 Co 2.67, 4 Br 2.87-2.95
Co: 0.2500 0.9459 0.4061  6 Er 2.62-2.76
Er: 0.7500 0.1404 0.3679  3 Co 2.62-2.76
Br: 0.7500 0.6573 0.1423  3 Er 2.87-3.04
Br: 0.2500 0.8656 0.8968  4 Er 2.95-3.28
Co: 0.7500 0.0541 0.5939  6 Er 2.62-2.76
Br: 0.2500 0.4271 0.3688  5 Er 3.08-3.28
Er: 0.7500 0.0989 0.8217  1 Co 2.67, 4 Br 2.87-2.95

As for the crystal system: monoclinic.

[6]
DFT (GGA-PBE) results for a relaxed structure of Er6CoBr10.

a b c (Å): 7.2859 8.9972 9.1396
angles (deg): 107.43 96.56 104.28
With the nearest neighbours (Å) after each atom.
Positions (direct):
Br: 0.2276 0.7492 0.1601  3 Er 2.89-3.05
Er: 0.8776 0.9525 0.7417  1 Co 2.59, 3 Br 2.88-2.89
Br: 0.7537 0.9181 0.0433  3 Er 2.88-3.07
Br: 0.0877 0.3738 0.3273  3 Er 2.88-3.08
Br: 0.6652 0.5527 0.2275  2 Er 2.77-2.81
Br: 0.7724 0.2508 0.8399  3 Er 2.89-3.05
Er: 0.6505 0.8712 0.3274  1 Co 2.62, 2 Br 2.77-2.90
Br: 0.2463 0.0819 0.9567  3 Er 2.88-3.07
Br: 0.4544 0.8184 0.5870  4 Er 2.98-3.04
Er: 0.3495 0.1288 0.6726  1 Co 2.62, 2 Br 2.77-2.90
Br: 0.3348 0.4473 0.7725  2 Er 2.77-2.81
Br: 0.9123 0.6262 0.6727  3 Er 2.88-3.08
Er: 0.1224 0.0475 0.2583  1 Co 2.59, 3 Br 2.88-2.89
Co: 0.0000 0.0000 0.5000  6 Er 2.51-2.62
Er: 0.9636 0.2823 0.5844  1 Co 2.51, 1 Br 2.81
Br: 0.5456 0.1816 0.4130  4 Er 2.98-3.04
Er: 0.0364 0.7177 0.4156  1 Co 2.51, 1 Br 2.81

As for the crystal system: triclinic.

Values for size of the total moment, μB/atom, ordered as above
0.00 0.00 0.00 0.00 0.00 0.06
Values for E_form (uncorrected), meV per atom, ordered as above
-769 -720 -721 -733 -1184 -1529